# Li3Ho2US6 (GGA-PBE, optimized geometry)
# Magnetic moment ... 5.9 μB per cell
# Uncorrected energy ... -5.904 eV/atom
# Raw formation energy ... -1.66 eV/atom
data_Li3Ho2US6
_symmetry_space_group_name_H-M 'C 1 2/m 1'
_symmetry_Int_Tables_number 12
_cell_length_a 6.757
_cell_length_b 11.699
_cell_length_c 6.579
_cell_angle_alpha 90.00
_cell_angle_beta 110.00
_cell_angle_gamma 90.00
loop_
_symmetry_equiv_pos_as_xyz
'x,y,z'
'-x,-y,-z'
'-x,y,-z'
'x,-y,z'
'x+1/2,y+1/2,z'
'-x+1/2,-y+1/2,-z'
'-x+1/2,y+1/2,-z'
'x+1/2,-y+1/2,z'
loop_
_atom_site_label
_atom_site_type_symbol
_atom_site_fract_x
_atom_site_fract_y
_atom_site_fract_z
Li1 Li 0.000 0.000 0.000
Li2 Li 0.000 0.331 0.000
Ho1 Ho 0.000 0.167 0.500
U1 U 0.000 0.500 0.500
S1 S 0.248 0.167 0.248
S2 S 0.249 0.000 0.752